1.
First-principles (GGA-PBE) data for a relaxed AgHgP2 crystal, as listed in Alexandria via LeMat-Bulk.

Results
magnetization = 0.0000 μB/atom
calculated formation energy = 168 meV/atom
SG = No. 8

```
AgHgP2
1.0
-1.561 2.936 -2.618
-3.771 0.646 -1.809
-3.460 4.652 3.724
Ag Hg P
1 1 2
direct
0.464 0.464 0.537 Ag
0.272 0.272 0.244 Hg
0.090 0.090 0.971 P
0.675 0.675 0.748 P
```



2.
First-principles (GGA-PBE) data for a relaxed AgHgP crystal, as listed in Alexandria via LeMat-Bulk.

Results
magnetization = 0.0000 μB/atom
calculated formation energy = 83 meV/atom
SG = No. 2

```
AgHgP
1.0
3.272 -0.002 0.376
-0.012 5.296 0.069
0.786 0.569 7.402
Ag Hg P
2 2 2
direct
0.061 0.768 0.878 Ag
0.939 0.232 0.122 Ag
0.403 0.699 0.203 Hg
0.597 0.301 0.797 Hg
0.234 0.863 0.533 P
0.766 0.137 0.467 P
```



3.
First-principles (GGA-PBE) data for a relaxed AgHgP crystal, as listed in Alexandria via LeMat-Bulk.

Results
magnetization = 0.0000 μB/atom
calculated formation energy = 128 meV/atom
SG = No. 1

```
AgHgP
1.0
-0.674 -2.780 1.626
3.032 -1.714 -4.324
6.010 1.256 3.881
Ag Hg P
2 2 2
direct
0.268 0.879 0.378 Ag
0.124 0.657 0.981 Ag
0.850 0.121 0.112 Hg
0.593 0.444 0.405 Hg
0.873 0.257 0.756 P
0.262 0.983 0.722 P
```



4.
First-principles (GGA-PBE) data for a relaxed AgHgP crystal, as listed in Alexandria via LeMat-Bulk.

Results
magnetization = 0.0000 μB/atom
calculated formation energy = 84 meV/atom
SG = No. 6

```
AgHgP
1.0
5.966 0.000 0.002
0.000 3.255 0.000
-1.956 0.000 6.930
Ag Hg P
2 2 2
direct
0.296 0.500 0.497 Ag
0.711 0.000 0.498 Ag
0.481 0.500 0.170 Hg
0.961 0.000 0.200 Hg
0.978 0.000 0.828 P
0.220 0.500 0.820 P
```



5.
First-principles (GGA-PBE) data for a relaxed AgHgP crystal, as listed in Alexandria via LeMat-Bulk.

Results
magnetization = 0.0000 μB/atom
calculated formation energy = 115 meV/atom
SG = No. 6

```
AgHgP
1.0
4.658 0.000 -0.016
0.000 3.309 0.000
-1.912 0.000 8.593
Ag Hg P
2 2 2
direct
0.409 0.000 0.628 Ag
0.597 0.000 0.334 Ag
0.106 0.500 0.355 Hg
0.579 0.500 0.056 Hg
0.952 0.000 0.734 P
0.017 0.500 0.906 P
```



6.
First-principles (GGA-PBE) data for a relaxed AgHgP crystal, as listed in Alexandria via LeMat-Bulk.

Results
magnetization = 0.0000 μB/atom
calculated formation energy = 412 meV/atom
SG = No. 156

```
AgHgP
1.0
4.985 0.000 0.000
-2.493 4.317 0.000
0.000 0.000 2.799
Ag Hg P
1 1 1
direct
0.000 0.000 0.664 Ag
0.333 0.667 0.668 Hg
0.667 0.333 0.668 P
```



7.
First-principles (GGA-PBE) data for a relaxed Ag2HgP4 crystal, as listed in Alexandria via LeMat-Bulk.

Results
magnetization = 0.0000 μB/atom
calculated formation energy = 323 meV/atom
SG = No. 111

```
Ag2HgP4
1.0
-4.799 0.584 2.940
2.899 -0.509 4.833
0.637 4.677 0.110
Ag Hg P
2 1 4
direct
0.000 0.500 0.500 Ag
0.500 0.000 0.500 Ag
0.000 0.000 0.000 Hg
0.363 0.363 0.803 P
0.637 0.637 0.803 P
0.363 0.637 0.197 P
0.637 0.363 0.197 P
```



8.
First-principles (GGA-PBE) data for a relaxed AgHgP2 crystal, as listed in Alexandria via LeMat-Bulk.

Results
magnetization = 0.0000 μB/atom
calculated formation energy = 104 meV/atom
SG = No. 12

```
AgHgP2
1.0
-4.705 -1.910 -3.044
-4.508 -3.815 -0.412
-0.730 4.281 3.154
Ag Hg P
1 1 2
direct
0.750 0.750 0.750 Ag
0.250 0.250 0.250 Hg
0.992 0.992 0.883 P
0.508 0.508 0.617 P
```



Copy entry 7 word for word.
First-principles (GGA-PBE) data for a relaxed Ag2HgP4 crystal, as listed in Alexandria via LeMat-Bulk.

Results
magnetization = 0.0000 μB/atom
calculated formation energy = 323 meV/atom
SG = No. 111

```
Ag2HgP4
1.0
-4.799 0.584 2.940
2.899 -0.509 4.833
0.637 4.677 0.110
Ag Hg P
2 1 4
direct
0.000 0.500 0.500 Ag
0.500 0.000 0.500 Ag
0.000 0.000 0.000 Hg
0.363 0.363 0.803 P
0.637 0.637 0.803 P
0.363 0.637 0.197 P
0.637 0.363 0.197 P
```